Here is a relaxed VPPb3O8 crystal from the Alexandria database. Energies are from PBE+U.

Values from the calculation:
Calculated volume in Å³ per cell: 573.9
Raw total energy in eV per atom: -6.63

Structure (CIF):
```
data_VPPb3O8
_chemical_formula_sum 'V3 P3 Pb9 O24'
_space_group_name_H-M_alt 'R 3 m'
_space_group_IT_number 160
_space_group_name_Hall 'R 3 -2"'
_cell_length_a 5.6818
_cell_length_b 5.6818
_cell_length_c 20.5268
_cell_angle_alpha 90.00
_cell_angle_beta 90.00
_cell_angle_gamma 120.00
loop_
_atom_site_label
_atom_site_fract_x
_atom_site_fract_y
_atom_site_fract_z
_atom_site_occupancy
V1 0.0000 0.0000 0.0000 1
P1 0.0000 0.0000 0.1928 1
Pb1 0.0000 0.0000 0.3816 1
Pb2 0.0000 0.0000 0.5895 1
Pb3 0.0000 0.0000 0.7998 1
O1 0.0000 0.0000 0.2687 1
O2 0.0000 0.0000 0.9162 1
O3 0.0007 0.5004 0.3619 1
O4 0.0332 0.5166 0.8341 1
```